A relaxed Tb5Ru2Pb crystal. Source: the Alexandria database, functional PBE-GGA.

Cell and atoms, written as POSCAR:
```
Tb5Ru2Pb
1.0
7.013 0.000 -3.311
-1.563 6.837 -3.311
-0.114 -0.144 8.842
Ru Tb Pb
4 10 2
direct
0.642 0.142 0.000 Ru
0.358 0.858 0.000 Ru
0.858 0.642 0.000 Ru
0.142 0.358 0.000 Ru
0.500 0.500 0.000 Tb
0.711 0.211 0.739 Tb
0.472 0.289 0.261 Tb
0.211 0.028 0.739 Tb
0.000 0.000 0.000 Tb
0.528 0.711 0.739 Tb
0.289 0.789 0.261 Tb
0.028 0.528 0.739 Tb
0.972 0.472 0.261 Tb
0.789 0.972 0.261 Tb
0.750 0.750 0.500 Pb
0.250 0.250 0.500 Pb
```

Summary:
Energy of formation from the pure elements: -0.42 eV/atom
Total magnetic moment: 0.000 μB/f.u.
Total DFT energy (no corrections): -6.0950 eV per atom

=====

A relaxed Pu6Sn5Ge crystal. Source: the Alexandria database, functional PBE-GGA.

Cell and atoms, written as POSCAR:
```
Pu6Sn5Ge
1.0
-3.306 -2.569 2.177
6.477 -5.240 3.651
1.907 0.403 8.527
Pu Ge Sn
6 1 5
direct
0.838 0.081 0.325 Pu
0.162 0.405 0.675 Pu
0.500 0.766 0.000 Pu
0.162 0.919 0.675 Pu
0.500 0.234 0.000 Pu
0.838 0.595 0.325 Pu
0.000 0.000 0.000 Ge
0.326 0.826 0.347 Sn
0.674 0.174 0.653 Sn
0.663 0.663 0.674 Sn
0.000 0.500 0.000 Sn
0.337 0.337 0.326 Sn
```

Summary:
Energy of formation from the pure elements: -0.39 eV/atom
Total magnetic moment: 34.536 μB/f.u.
Total DFT energy (no corrections): -9.6094 eV per atom

=====

A relaxed LaAlHg crystal. Source: the Alexandria database, functional PBE-GGA.

Cell and atoms, written as POSCAR:
```
LaAlHg
1.0
-1.644 4.048 -1.468
-0.926 -1.867 -4.111
-6.734 -1.875 2.369
La Hg Al
2 2 2
direct
0.000 0.500 0.183 La
0.500 0.000 0.817 La
0.500 0.000 0.270 Hg
0.000 0.500 0.730 Hg
0.000 0.000 0.500 Al
0.500 0.500 0.500 Al
```

Summary:
Energy of formation from the pure elements: -0.42 eV/atom
Total magnetic moment: 0.148 μB/f.u.
Total DFT energy (no corrections): -3.4067 eV per atom

=====

A relaxed TlTc2Se crystal. Source: the Alexandria database, functional PBE-GGA.

Cell and atoms, written as POSCAR:
```
TlTc2Se
1.0
-2.901 0.007 -4.533
-0.825 -5.017 -1.766
-0.877 3.633 3.873
Tl Tc Se
1 2 1
direct
0.750 0.250 0.500 Tl
0.469 0.469 0.000 Tc
0.031 0.031 0.000 Tc
0.250 0.750 0.500 Se
```

Summary:
Raw formation energy: 0.633 eV/atom
Excess energy over the best structure of this formula in the dataset: 0.425 eV per atom
Total magnetic moment: 0.000 μB/f.u.
Total DFT energy (no corrections): -6.0131 eV per atom